Arrangement A

5
Lattice="5.385 0.000 0.000 0.000 5.385 0.000 0.000 0.000 5.570" Properties=species:S:1:pos:R:3 comment="CaY2MgIr | Alexandria via LeMat-Bulk | PBE-GGA | relaxed" dos_ef_per_ev_atom=0.66 pbc="T T T"
Y 0.000 2.693 0.000
Y 2.693 0.000 0.000
Ca 0.000 0.000 2.785
Ir 0.000 0.000 0.000
Mg 2.693 2.693 2.785



Arrangement B

5
Lattice="-1.039 -5.242 0.705 5.202 -1.143 -0.828 0.932 0.509 5.157" Properties=species:S:1:pos:R:3 comment="CaY2MgIr | Alexandria via LeMat-Bulk | PBE-GGA | relaxed" dos_ef_per_ev_atom=0.59 pbc="T T T"
Y 2.601 -0.571 -0.414
Y -0.520 -2.621 0.352
Ca 2.547 -2.938 2.517
Ir 0.000 0.000 0.000
Mg 0.466 0.254 2.579



Most favorable structure: arrangement B. The second most favorable one is 5.1 kJ/mol of atoms above it.